Crystalline Na3B2PO5F4 at its relaxed geometry, computed with GGA-PBEsol.

Space group: P2_1/c (14)
Formation energy from raw total energies: -2603 meV per atom
Energy above the most stable polymorph in this dataset: 0 meV per atom

a = 6.514 Å, b = 8.832 Å, c = 12.159 Å
α = 90.00°, β = 90.00°, γ = 102.37°
Sites, in units of the cell vectors:
F1 0.515 0.290 0.649
F2 0.512 0.715 0.091
F3 0.692 0.057 0.070
F4 0.485 0.710 0.351
F5 0.686 0.531 0.936
F6 0.314 0.469 0.064
F7 0.012 0.215 0.409
F8 0.186 0.031 0.564
F9 0.488 0.285 0.909
F10 0.985 0.210 0.149
F11 0.808 0.443 0.570
F12 0.814 0.969 0.436
F13 0.988 0.785 0.591
F14 0.308 0.943 0.930
F15 0.192 0.557 0.430
F16 0.015 0.790 0.851
O1 0.489 0.671 0.539
O2 0.761 0.327 0.040
O3 0.267 0.940 0.192
O4 0.989 0.171 0.961
O5 0.239 0.673 0.960
O6 0.104 0.215 0.763
O7 0.396 0.285 0.263
O8 0.896 0.785 0.237
O9 0.660 0.148 0.344
O10 0.261 0.827 0.460
O11 0.840 0.352 0.844
O12 0.340 0.852 0.656
O13 0.511 0.329 0.461
O14 0.767 0.440 0.308
O15 0.160 0.648 0.156
O16 0.739 0.173 0.540
O17 0.233 0.560 0.692
O18 0.733 0.060 0.808
O19 0.011 0.829 0.039
O20 0.604 0.715 0.737
P1 0.585 0.309 0.338
P2 0.415 0.691 0.662
P3 0.085 0.809 0.162
P4 0.915 0.191 0.838
Na1 0.167 0.337 0.581
Na2 0.113 0.411 0.270
Na3 0.833 0.663 0.419
Na4 0.212 0.042 0.358
Na5 0.387 0.089 0.770
Na6 0.788 0.958 0.642
Na7 0.333 0.163 0.081
Na8 0.613 0.911 0.230
Na9 0.667 0.837 0.919
Na10 0.887 0.589 0.730
Na11 0.712 0.542 0.142
Na12 0.288 0.458 0.858
B1 0.645 0.305 0.554
B2 0.855 0.195 0.054
B3 0.145 0.805 0.946
B4 0.201 0.872 0.565
B5 0.299 0.628 0.065
B6 0.701 0.372 0.935
B7 0.799 0.128 0.435
B8 0.355 0.695 0.446



Crystalline KPb2Au at its relaxed geometry, computed with GGA-PBEsol.

Space group: R-3m (166)
Formation energy: -0.17 eV per atom

a = 4.705 Å, b = 4.705 Å, c = 7.065 Å
α = 70.55°, β = 70.55°, γ = 60.00°
Sites, in units of the cell vectors:
Pb1 0.218 0.218 0.347
Pb2 0.782 0.782 0.653
Au1 0.500 0.500 0.500
K1 0.000 0.000 0.000



Crystalline CdTe3S at its relaxed geometry, computed with GGA-PBEsol.

Space group: Pm-3m (221)
Formation energy from raw total energies: 407 meV per atom

a = 5.208 Å, b = 5.208 Å, c = 5.208 Å
α = 90.00°, β = 90.00°, γ = 90.00°
Sites, in units of the cell vectors:
Cd1 0.500 0.500 0.500
Te1 0.500 0.000 0.000
Te2 0.000 0.000 0.500
Te3 0.000 0.500 0.000
S1 0.000 0.000 0.000



Crystalline Te2PAu2 at its relaxed geometry, computed with GGA-PBEsol.

Space group: I4/mmm (139)
Formation energy from raw total energies: 409 meV per atom

a = 5.431 Å, b = 5.431 Å, c = 5.431 Å
α = 92.66°, β = 118.47°, γ = 118.47°
Sites, in units of the cell vectors:
Te1 0.500 0.250 0.750
Te2 0.500 0.750 0.250
Au1 0.000 0.323 0.323
Au2 0.000 0.677 0.677
P1 0.000 0.000 0.000



Crystalline CaGePd3 at its relaxed geometry, computed with GGA-PBEsol.

Space group: Pm-3m (221)
Formation energy: 0.90 eV per atom

a = 4.781 Å, b = 4.781 Å, c = 4.781 Å
α = 90.00°, β = 90.00°, γ = 90.00°
Sites, in units of the cell vectors:
Pd1 0.000 0.000 0.500
Pd2 0.500 0.000 0.000
Pd3 0.000 0.500 0.000
Ca1 0.000 0.000 0.000
Ge1 0.500 0.500 0.500



Crystalline ZnCr2Ag at its relaxed geometry, computed with GGA-PBEsol.

Space group: P4/mmm (123)
Formation energy: 0.44 eV per atom

a = 3.494 Å, b = 3.494 Å, c = 4.248 Å
α = 90.00°, β = 90.00°, γ = 90.00°
Sites, in units of the cell vectors:
Cr1 0.500 0.000 0.000
Cr2 0.000 0.500 0.000
Ag1 0.000 0.000 0.500
Zn1 0.500 0.500 0.500



Crystalline BaSc2Te4 at its relaxed geometry, computed with GGA-PBEsol.

Space group: Pnma (62)
Formation energy from raw total energies: -1402 meV per atom

a = 4.244 Å, b = 13.230 Å, c = 15.456 Å
α = 90.00°, β = 90.00°, γ = 90.00°
Sites, in units of the cell vectors:
Ba1 0.750 0.763 0.327
Ba2 0.750 0.263 0.173
Ba3 0.250 0.737 0.827
Ba4 0.250 0.237 0.673
Te1 0.750 0.911 0.926
Te2 0.750 0.204 0.852
Te3 0.750 0.623 0.974
Te4 0.250 0.877 0.474
Te5 0.750 0.123 0.526
Te6 0.250 0.796 0.148
Te7 0.250 0.589 0.426
Te8 0.250 0.377 0.026
Te9 0.250 0.972 0.716
Te10 0.250 0.089 0.074
Te11 0.250 0.472 0.784
Te12 0.750 0.411 0.574
Te13 0.750 0.028 0.284
Te14 0.750 0.528 0.216
Te15 0.750 0.704 0.648
Te16 0.250 0.296 0.352
Sc1 0.750 0.420 0.904
Sc2 0.250 0.556 0.609
Sc3 0.750 0.944 0.109
Sc4 0.250 0.580 0.096
Sc5 0.250 0.056 0.891
Sc6 0.750 0.920 0.596
Sc7 0.250 0.080 0.404
Sc8 0.750 0.444 0.391



Crystalline Fe2CoRu at its relaxed geometry, computed with GGA-PBEsol.

Space group: C2/m (12)
Formation energy: 0.21 eV per atom

a = 2.480 Å, b = 4.775 Å, c = 4.775 Å
α = 116.90°, β = 100.48°, γ = 100.48°
Last column: magnetic moment on the atom in μB.
Sites, in units of the cell vectors:
Fe1 0.000 0.500 0.000  2.62
Fe2 0.000 0.000 0.500  2.62
Ru1 0.500 0.500 0.500  0.59
Co1 0.500 0.000 0.000  1.74



no.,DFT total energy (eV/atom),size of the total moment (μB/f.u.)
1,-6.468,0.03
2,-3.433,0.00
3,-2.825,0.00
4,-3.729,0.00
5,-4.094,0.00
6,-5.908,0.00
7,-5.611,0.00
8,-8.753,7.55